# 1
DFT (PBE) results for a geometry-optimized Na2SrLa structure.

a b c (Å): 6.123 6.123 6.123
angles (deg): 60.00 60.00 60.00
Atoms (fractional coordinates):
La: 0.500 0.500 0.500
Na: 0.250 0.250 0.250
Sr: 0.000 0.000 0.000
Na: 0.750 0.750 0.750

- E_form (meV per atom) = 246
- ΔE to the lowest computed polymorph (eV per atom) = 0.035


# 2
DFT (PBE) results for a geometry-optimized Na2SrLa structure.

a b c (Å): 4.325 4.325 8.718
angles (deg): 90.00 90.00 90.00
Each line ends with the local moment (μB).
Atoms (fractional coordinates):
Na: 0.000 0.000 0.237  0.00
La: 0.500 0.500 0.000  0.21
Na: 0.000 0.000 0.763  0.00
Sr: 0.500 0.500 0.500  0.00

- E_form (meV per atom) = 210
- ΔE to the lowest computed polymorph (eV per atom) = 0.000


# 3
DFT (PBE) results for a geometry-optimized NaSr3La structure.

a b c (Å): 6.708 6.708 6.708
angles (deg): 90.00 90.00 90.00
Each line ends with the local moment (μB).
Atoms (fractional coordinates):
La: 0.000 0.000 0.000  0.54
Na: 0.500 0.500 0.500  -0.01
Sr: 0.500 0.000 0.000  0.04
Sr: 0.000 0.500 0.000  0.07
Sr: 0.000 0.000 0.500  0.12

- E_form (meV per atom) = 655
- ΔE to the lowest computed polymorph (eV per atom) = 0.185


# 4
DFT (PBE) results for a geometry-optimized NaSrLa2Tc structure.

a b c (Å): 5.429 5.429 6.392
angles (deg): 90.00 90.00 90.00
Atoms (fractional coordinates):
Tc: 0.000 0.000 0.000
Na: 0.500 0.500 0.500
La: 0.500 0.000 0.000
Sr: 0.000 0.000 0.500
La: 0.000 0.500 0.000

- E_form (meV per atom) = 118


# 5
DFT (PBE) results for a geometry-optimized NaSrLa2Te structure.

a b c (Å): 6.001 5.450 6.001
angles (deg): 90.00 90.00 90.00
Atoms (fractional coordinates):
La: 0.500 0.000 0.000
Na: 0.000 0.500 0.000
La: 0.000 0.000 0.500
Te: 0.500 0.500 0.500
Sr: 0.000 0.000 0.000

- E_form (uncorrected) (eV/f.u.) = 3.315


# 6
DFT (PBE) results for a geometry-optimized NaSrLa2Te4 structure.

a b c (Å): 4.617 8.116 7.972
angles (deg): 70.83 90.00 90.00
Atoms (fractional coordinates):
Te: 0.000 0.245 0.254
Te: 0.000 0.755 0.746
Sr: 0.500 0.500 0.000
La: 0.000 0.000 0.000
Te: 0.500 0.756 0.250
La: 0.500 0.000 0.500
Na: 0.000 0.500 0.500
Te: 0.500 0.244 0.750

- E_form (uncorrected) (eV/f.u.) = -12.193


# 7
DFT (PBE) results for a geometry-optimized NaSr3La2Te6 structure.

a b c (Å): 8.086 8.086 8.092
angles (deg): 99.59 99.59 119.97
Atoms (fractional coordinates):
Te: 0.417 0.081 0.242
Sr: 0.835 0.165 0.500
Te: 0.744 0.744 0.241
Sr: 0.165 0.835 0.500
Sr: 0.500 0.500 0.500
Te: 0.919 0.583 0.758
La: 0.333 0.667 0.000
Na: 0.000 0.000 0.000
Te: 0.583 0.919 0.758
Te: 0.256 0.256 0.759
La: 0.667 0.333 0.000
Te: 0.081 0.417 0.242

- E_form (uncorrected) (eV/f.u.) = -19.056


# 8
DFT (PBE) results for a geometry-optimized NaSr2LaZn structure.

a b c (Å): 6.206 6.206 5.780
angles (deg): 90.00 90.00 90.00
Atoms (fractional coordinates):
La: 0.000 0.000 0.500
Sr: 0.500 0.000 0.000
Zn: 0.000 0.000 0.000
Na: 0.500 0.500 0.500
Sr: 0.000 0.500 0.000

- E_form (meV per atom) = 101


# 9
DFT (PBE) results for a geometry-optimized Na2SrLaZr structure.

a b c (Å): 5.613 5.822 5.613
angles (deg): 90.00 90.00 90.00
Each line ends with the local moment (μB).
Atoms (fractional coordinates):
Zr: 0.000 0.500 0.000  0.64
La: 0.500 0.500 0.500  0.20
Na: 0.000 0.000 0.500  0.00
Sr: 0.000 0.000 0.000  0.09
Na: 0.500 0.000 0.000  0.00

- E_form (meV per atom) = 1056
- ΔE to the lowest computed polymorph (eV per atom) = 0.000


# 10
DFT (PBE) results for a geometry-optimized Na2SrLaZr structure.

a b c (Å): 5.716 5.839 5.716
angles (deg): 90.00 90.00 90.00
Each line ends with the local moment (μB).
Atoms (fractional coordinates):
Sr: 0.000 0.500 0.000  0.09
La: 0.500 0.500 0.500  -0.07
Zr: 0.000 0.000 0.000  1.02
Na: 0.500 0.000 0.000  0.01
Na: 0.000 0.000 0.500  0.01

- E_form (meV per atom) = 1073
- ΔE to the lowest computed polymorph (eV per atom) = 0.017


# 11
DFT (PBE) results for a geometry-optimized NaLaTa2 structure.

a b c (Å): 8.259 8.259 6.492
angles (deg): 50.50 50.50 90.00
Atoms (fractional coordinates):
Ta: 0.136 0.625 0.250
La: 0.750 0.250 0.500
Ta: 0.614 0.125 0.250
La: 0.000 0.000 0.000
Na: 0.250 0.750 0.500
Ta: 0.875 0.864 0.750
Ta: 0.375 0.386 0.750
Na: 0.500 0.500 0.000

- E_form (meV per atom) = 1376
- ΔE to the lowest computed polymorph (eV per atom) = 0.071


# 12
DFT (PBE) results for a geometry-optimized NaLaTa2 structure.

a b c (Å): 5.044 5.044 5.044
angles (deg): 60.00 60.00 60.00
Atoms (fractional coordinates):
Ta: 0.250 0.250 0.250
La: 0.500 0.500 0.500
Ta: 0.750 0.750 0.750
Na: 0.000 0.000 0.000

- E_form (meV per atom) = 1306
- ΔE to the lowest computed polymorph (eV per atom) = 0.000